# 1
A plane-wave DFT calculation with PBE was carried out for a geometry-optimized ZrSi3Ru5 structure.

a = 2.898 Å, b = 6.711 Å, c = 14.033 Å
α = 90.00°, β = 90.00°, γ = 102.47°
Atoms (fractional coordinates):
Si: 0.365 0.731 0.944
Si: 0.635 0.269 0.444
Si: 0.139 0.277 0.750
Si: 0.635 0.269 0.056
Si: 0.861 0.723 0.250
Si: 0.365 0.731 0.556
Ru: 0.808 0.617 0.084
Ru: 0.521 0.042 0.657
Ru: 0.192 0.383 0.916
Ru: 0.000 0.000 0.000
Ru: 0.000 0.000 0.500
Ru: 0.808 0.617 0.416
Ru: 0.521 0.042 0.843
Ru: 0.192 0.383 0.584
Ru: 0.479 0.958 0.157
Ru: 0.479 0.958 0.343
Zr: 0.839 0.679 0.750
Zr: 0.161 0.321 0.250

Summary:
Total magnetization: 0.0 μB/f.u.
Space group: No. 63
Raw total energy: -0.6109 Ry/atom
ρ: 8.49 Mg/m³
Energy relative to the elements, uncorrected: -0.402 eV/atom
Crystal system: orthorhombic

=====

# 2
A plane-wave DFT calculation with PBE was carried out for a geometry-optimized LaTlReSn2 structure.

a = 5.194 Å, b = 5.311 Å, c = 5.194 Å
α = 90.00°, β = 90.00°, γ = 90.00°
Atoms (fractional coordinates):
Tl: 0.000 0.500 0.000
Re: 0.000 0.000 0.000
Sn: 0.000 0.000 0.500
Sn: 0.500 0.000 0.000
La: 0.500 0.500 0.500

Summary:
Total magnetization: 0.0 μB/f.u.
Space group: No. 123
Raw total energy: -0.3914 Ry/atom
ρ: 8.89 Mg/m³
Crystal system: tetragonal
Energy relative to the elements: 224 meV per atom

=====

# 3
A plane-wave DFT calculation with PBE was carried out for a geometry-optimized Nd5Sc4In4 structure.

a = 4.787 Å, b = 9.219 Å, c = 9.219 Å
α = 86.13°, β = 74.95°, γ = 74.95°
Atoms (fractional coordinates):
Nd: 0.699 0.918 0.684
Nd: 0.301 0.082 0.316
Nd: 0.000 0.000 0.000
Nd: 0.383 0.316 0.918
Nd: 0.617 0.684 0.082
In: 0.074 0.176 0.675
In: 0.749 0.325 0.176
In: 0.926 0.824 0.325
In: 0.251 0.675 0.824
Sc: 0.904 0.515 0.676
Sc: 0.420 0.676 0.485
Sc: 0.580 0.324 0.515
Sc: 0.096 0.485 0.324

Summary:
Total magnetization: 0.0 μB/f.u.
Space group: No. 87
Raw total energy: -0.3615 Ry/atom
ρ: 5.95 Mg/m³
Crystal system: tetragonal
Energy relative to the elements: -294 meV per atom

=====

# 4
A plane-wave DFT calculation with PBE was carried out for a geometry-optimized Pm2Sn3BiPd4 structure.

a = 4.597 Å, b = 4.597 Å, c = 11.002 Å
α = 90.00°, β = 90.00°, γ = 90.00°
Atoms (fractional coordinates):
Pd: 0.500 0.000 0.641
Pd: 0.500 0.500 0.000
Pd: 0.000 0.000 0.000
Pd: 0.000 0.500 0.359
Bi: 0.500 0.500 0.500
Sn: 0.000 0.500 0.124
Sn: 0.500 0.000 0.876
Sn: 0.000 0.000 0.500
Pm: 0.500 0.000 0.229
Pm: 0.000 0.500 0.771

Summary:
Total magnetization: 0.0 μB/f.u.
Space group: No. 115
Raw total energy: -0.3904 Ry/atom
ρ: 9.15 Mg/m³
Crystal system: tetragonal
Energy relative to the elements: -696 meV per atom